The following is a PBE calculation of a relaxed PrHoEr2S6 crystal, from Alexandria.

The structure in POSCAR format:
```
PrHoEr2S6
1.0
3.479 2.008 6.162
-3.479 2.008 6.162
0.000 -4.017 6.162
Pr Ho Er S
1 1 2 6
Direct
0.000 0.000 0.000
0.492 0.492 0.492
0.291 0.291 0.291
0.795 0.795 0.795
0.085 0.670 0.418
0.192 0.582 0.896
0.418 0.085 0.670
0.582 0.896 0.192
0.670 0.418 0.085
0.896 0.192 0.582
```

Values from the calculation:
D(E_F): 0.000 states/eV per atom
density: 5.35 g cm⁻³
uncorrected formation energy: -2.045 eV/atom
calculated total energy: -63.70 eV/cell

The following is a PBE calculation of a relaxed FeW2Br crystal, from Alexandria.

The structure in POSCAR format:
```
FeW2Br
1.0
-1.463 2.282 4.507
1.463 -2.282 4.507
1.463 2.282 -4.507
Fe W Br
1 2 1
Direct
0.000 0.000 0.000
0.239 0.739 0.500
0.529 0.529 0.000
0.771 0.271 0.500
```

Values from the calculation:
D(E_F): 0.778 states/eV per atom
energy relative to the lowest polymorph listed for this composition: 0.386 eV/atom
density: 13.89 g cm⁻³
uncorrected formation energy: 0.949 eV/atom
calculated total energy: -32.25 eV/cell

The following is a PBE calculation of a relaxed YScCl3 crystal, from Alexandria.

The structure in POSCAR format:
```
YScCl3
1.0
8.605 -1.828 0.000
8.605 1.828 0.000
-6.019 0.000 8.887
Y Sc Cl
2 2 6
Direct
0.136 0.136 0.286
0.864 0.864 0.714
0.429 0.429 0.041
0.571 0.571 0.959
0.034 0.034 0.757
0.203 0.203 0.112
0.333 0.333 0.492
0.667 0.667 0.508
0.797 0.797 0.888
0.966 0.966 0.243
```

Values from the calculation:
energy relative to the lowest polymorph listed for this composition: 0.000 eV/atom
density: 2.85 g cm⁻³
uncorrected formation energy: -1.802 eV/atom
calculated total energy: -54.69 eV/cell

The following is a PBE calculation of a relaxed Ac2In3Hg2 crystal, from Alexandria.

The structure in POSCAR format:
```
Ac2In3Hg2
1.0
5.850 -2.488 0.000
5.850 2.488 0.000
-2.524 0.000 7.105
Ac In Hg
2 3 2
Direct
0.148 0.148 0.274
0.852 0.852 0.726
0.401 0.401 0.077
0.500 0.500 0.500
0.599 0.599 0.923
0.159 0.159 0.739
0.841 0.841 0.261
```

Values from the calculation:
D(E_F): 0.511 states/eV per atom
energy relative to the lowest polymorph listed for this composition: 0.000 eV/atom
density: 9.63 g cm⁻³
calculated total energy: -19.98 eV/cell

The following is a PBE calculation of a relaxed KThAs2 crystal, from Alexandria.

The structure in POSCAR format:
```
KThAs2
1.0
2.194 1.267 7.928
-2.194 1.267 7.928
0.000 -2.533 7.928
K Th As
1 1 2
Direct
0.000 0.000 0.000
0.829 0.829 0.829
0.229 0.229 0.229
0.430 0.430 0.430
```

Values from the calculation:
D(E_F): 1.576 states/eV per atom
energy relative to the lowest polymorph listed for this composition: 0.025 eV/atom
density: 5.29 g cm⁻³
calculated total energy: -20.85 eV/cell

The following is a PBE calculation of a relaxed Zn3HPd6 crystal, from Alexandria.

The structure in POSCAR format:
```
Zn3HPd6
1.0
7.996 0.000 0.000
0.000 8.437 0.000
0.000 0.000 4.084
Zn H Pd
6 2 12
Direct
0.000 0.000 0.000
0.198 0.201 0.500
0.302 0.701 0.000
0.500 0.500 0.500
0.698 0.299 0.000
0.802 0.799 0.500
0.000 0.500 0.000
0.500 0.000 0.500
0.026 0.304 0.000
0.137 0.876 0.500
0.172 0.531 0.500
0.328 0.031 0.000
0.363 0.376 0.000
0.474 0.804 0.500
0.526 0.196 0.500
0.637 0.624 0.000
0.672 0.969 0.000
0.828 0.469 0.500
0.863 0.124 0.500
0.974 0.696 0.000
```

Values from the calculation:
D(E_F): 0.395 states/eV per atom
density: 10.07 g cm⁻³
calculated total energy: -83.74 eV/cell

The following is a PBE calculation of a relaxed B7C3 crystal, from Alexandria.

The structure in POSCAR format:
```
B7C3
1.0
1.335 0.770 13.352
-1.335 0.770 13.352
0.000 -1.541 13.352
B C
7 3
Direct
0.000 0.000 0.000
0.042 0.042 0.042
0.179 0.179 0.179
0.273 0.273 0.273
0.403 0.403 0.403
0.444 0.444 0.444
0.804 0.804 0.804
0.611 0.611 0.611
0.649 0.649 0.649
0.843 0.843 0.843
```

Values from the calculation:
D(E_F): 0.237 states/eV per atom
energy relative to the lowest polymorph listed for this composition: 0.184 eV/atom
density: 2.25 g cm⁻³
calculated total energy: -69.66 eV/cell

The following is a PBE calculation of a relaxed PaZnAu2 crystal, from Alexandria.

The structure in POSCAR format:
```
PaZnAu2
1.0
3.554 -4.860 0.000
3.554 4.860 0.000
0.000 0.000 5.142
Pa Zn Au
2 2 4
Direct
0.181 0.819 0.750
0.819 0.181 0.250
0.500 0.500 0.000
0.500 0.500 0.500
0.096 0.303 0.750
0.303 0.096 0.250
0.697 0.904 0.750
0.904 0.697 0.250
```

Values from the calculation:
D(E_F): 1.356 states/eV per atom
density: 12.91 g cm⁻³
calculated total energy: -35.91 eV/cell